Record 1
! Tb8Pm3Er2 (PBE, relaxed); values from VASP
! formation energy: 0.237 eV/atom
! excess energy over the best structure of this formula in the dataset: 218 meV per atom
! space group: Cmmm
! total DFT energy (no corrections): -4.41 eV per atom
&SYSTEM
  ibrav = 0, nat = 13, ntyp = 3
/
ATOMIC_SPECIES
Tb 158.93 Tb.upf
Pm 145.00 Pm.upf
Er 167.26 Er.upf
CELL_PARAMETERS angstrom
3.855 -10.020 0.000
3.855 10.020 0.000
0.000 0.000 5.668
ATOMIC_POSITIONS crystal
Tb 0.135 0.865 0.000
Tb 0.182 0.400 0.500
Tb 0.328 0.672 0.000
Tb 0.400 0.182 0.500
Tb 0.600 0.818 0.500
Tb 0.672 0.328 0.000
Tb 0.818 0.600 0.500
Tb 0.865 0.135 0.000
Pm 0.000 0.000 0.500
Pm 0.291 0.291 0.000
Pm 0.709 0.709 0.000
Er 0.241 0.759 0.500
Er 0.759 0.241 0.500



Record 2
! PrCu10Ir2 (PBE, relaxed); values from VASP
! formation energy: -0.051 eV/atom
! space group: Fmmm
! total DFT energy (no corrections): -4.93 eV per atom
&SYSTEM
  ibrav = 0, nat = 13, ntyp = 3
/
ATOMIC_SPECIES
Pr 140.91 Pr.upf
Cu 63.55 Cu.upf
Ir 192.22 Ir.upf
CELL_PARAMETERS angstrom
0.000 6.002 6.218
2.508 0.000 6.218
2.508 6.002 0.000
ATOMIC_POSITIONS crystal
Pr 0.000 0.000 0.000
Cu 0.000 0.500 0.000
Cu 0.001 0.354 0.646
Cu 0.268 0.491 0.509
Cu 0.354 0.001 0.999
Cu 0.491 0.268 0.732
Cu 0.500 0.000 0.500
Cu 0.509 0.732 0.268
Cu 0.646 0.999 0.001
Cu 0.732 0.509 0.491
Cu 0.999 0.646 0.354
Ir 0.000 0.000 0.500
Ir 0.500 0.500 0.000



Record 3
! Sb3Pt (PBE, relaxed); values from VASP
! excess energy over the best structure of this formula in the dataset: 135 meV per atom
! space group: P6_3/mmc
! energy relative to the elements, uncorrected: -0.07 eV/atom
! total DFT energy (no corrections): -4.67 eV per atom
&SYSTEM
  ibrav = 0, nat = 8, ntyp = 2
/
ATOMIC_SPECIES
Sb 121.76 Sb.upf
Pt 195.08 Pt.upf
CELL_PARAMETERS angstrom
8.030 0.000 0.000
-4.015 6.954 0.000
0.000 0.000 3.750
ATOMIC_POSITIONS crystal
Sb 0.189 0.378 0.250
Sb 0.189 0.811 0.250
Sb 0.378 0.189 0.750
Sb 0.622 0.811 0.250
Sb 0.811 0.189 0.750
Sb 0.811 0.622 0.750
Pt 0.333 0.667 0.750
Pt 0.667 0.333 0.250



Record 4
! SbPOs2 (PBE, relaxed); values from VASP
! excess energy over the best structure of this formula in the dataset: 506 meV per atom
! space group: Immm
! energy relative to the elements, uncorrected: 0.60 eV/atom
! total DFT energy (no corrections): -7.40 eV per atom
&SYSTEM
  ibrav = 0, nat = 4, ntyp = 3
/
ATOMIC_SPECIES
Sb 121.76 Sb.upf
P 30.97 P.upf
Os 190.23 Os.upf
CELL_PARAMETERS angstrom
-1.483 2.478 4.406
1.483 -2.478 4.406
1.483 2.478 -4.406
ATOMIC_POSITIONS crystal
Sb 0.000 0.000 0.000
P 0.500 0.500 0.000
Os 0.292 0.792 0.500
Os 0.708 0.208 0.500



Record 5
! ZrAlP2I (PBE, relaxed); values from VASP
! space group: P4/mmm
! energy relative to the elements, uncorrected: 0.21 eV/atom
! total DFT energy (no corrections): -4.72 eV per atom
&SYSTEM
  ibrav = 0, nat = 5, ntyp = 4
/
ATOMIC_SPECIES
Zr 91.22 Zr.upf
Al 26.98 Al.upf
P 30.97 P.upf
I 126.90 I.upf
CELL_PARAMETERS angstrom
4.992 0.000 0.000
0.000 4.992 0.000
0.000 0.000 6.102
ATOMIC_POSITIONS crystal
Zr 0.000 0.000 0.000
Al 0.500 0.500 0.500
P 0.000 0.500 0.000
P 0.500 0.000 0.000
I 0.000 0.000 0.500



Record 6
! Ba2SrAu (PBE, relaxed); values from VASP
! formation energy: -0.358 eV/atom
! excess energy over the best structure of this formula in the dataset: 44 meV per atom
! space group: Cmmm
! total DFT energy (no corrections): -2.56 eV per atom
&SYSTEM
  ibrav = 0, nat = 4, ntyp = 3
/
ATOMIC_SPECIES
Ba 137.33 Ba.upf
Sr 87.62 Sr.upf
Au 196.97 Au.upf
CELL_PARAMETERS angstrom
2.919 -2.925 0.000
2.919 2.925 0.000
0.000 0.000 10.612
ATOMIC_POSITIONS crystal
Ba 0.000 0.000 0.178
Ba 0.000 0.000 0.822
Sr 0.500 0.500 0.500
Au 0.500 0.500 0.000